DFT (PBE) results for PmTmCd6 after structural relaxation.

- Magnetic moment: 0.0 μB/f.u.
- SG: Amm2
- DFT formation energy: -0.275 eV/atom

Unit cell a=4.8940 b=6.5468 c=6.5468 alpha=113.19 beta=90.00 gamma=90.00
Closest atoms and distances in Å follow each position.
Element x y z (fractional)
Pm1 0.5000 0.3847 0.6153  10 Cd 3.23-3.34
Tm1 0.0000 0.1141 0.8859  10 Cd 3.19-3.33
Cd1 0.0000 0.0569 0.3697  7 Cd 3.03-3.29, 2 Pm 3.23, 2 Tm 3.25-3.33
Cd2 0.0000 0.6303 0.9431  7 Cd 3.03-3.29, 2 Pm 3.23, 2 Tm 3.25-3.33
Cd3 0.0000 0.5784 0.4216  8 Cd 3.02-3.29, 2 Pm 3.24
Cd4 0.5000 0.4369 0.1281  7 Cd 3.02-3.36, 2 Tm 3.21, 2 Pm 3.24-3.34
Cd5 0.5000 0.8719 0.5631  7 Cd 3.02-3.36, 2 Tm 3.21, 2 Pm 3.24-3.34
Cd6 0.5000 0.9264 0.0736  8 Cd 3.03-3.36, 2 Tm 3.19

DFT (PBE) results for Pm6TmCd after structural relaxation.

- Magnetic moment: 0.0 μB/f.u.
- Relative energy among the computed polymorphs: 144 meV/atom
- SG: C2/m
- DFT formation energy: 0.103 eV/atom

Unit cell a=6.8488 b=6.8488 c=8.8155 alpha=110.29 beta=110.29 gamma=119.52
Closest atoms and distances in Å follow each position.
Element x y z (fractional)
Pm1 0.2874 0.2874 0.7430  6 Pm 3.27-3.49, 1 Cd 3.33
Pm2 0.6577 0.1779 0.2557  1 Cd 3.37, 7 Pm 3.37-3.62, 1 Tm 3.54
Pm3 0.7126 0.7126 0.2570  6 Pm 3.27-3.49, 1 Cd 3.33
Pm4 0.8221 0.3423 0.7443  1 Cd 3.37, 7 Pm 3.37-3.62, 1 Tm 3.54
Pm5 0.3423 0.8221 0.7443  1 Cd 3.37, 7 Pm 3.37-3.62, 1 Tm 3.54
Pm6 0.1779 0.6577 0.2557  1 Cd 3.37, 7 Pm 3.37-3.62, 1 Tm 3.54
Tm1 0.0000 0.0000 0.0000  2 Cd 3.22, 4 Pm 3.54
Cd1 0.5000 0.5000 0.5000  2 Tm 3.22, 6 Pm 3.33-3.37

DFT (PBE) results for Pm3Tm2Cd2 after structural relaxation.

- Magnetic moment: 0.5 μB/f.u.
- Relative energy among the computed polymorphs: 84 meV/atom
- SG: Cmmm
- DFT formation energy: -0.062 eV/atom

Unit cell a=5.1336 b=3.4956 c=11.7379 alpha=90.00 beta=77.37 gamma=90.00
Closest atoms and distances in Å follow each position.
Element x y z (fractional)
Pm1 0.8519 0.0000 0.2963  3 Pm 3.39-3.50, 6 Tm 3.42-3.68, 4 Cd 3.59
Pm2 0.0000 0.0000 0.0000  4 Pm 3.39-3.50, 8 Cd 3.49
Pm3 0.1481 0.0000 0.7037  3 Pm 3.39-3.50, 6 Tm 3.42-3.68, 4 Cd 3.59
Tm1 0.7106 0.5000 0.5789  4 Tm 3.14-3.50, 1 Cd 3.23, 4 Pm 3.42
Tm2 0.2894 0.5000 0.4211  4 Tm 3.14-3.50, 1 Cd 3.23, 4 Pm 3.42
Cd1 0.5696 0.5000 0.8608  3 Cd 3.19-3.50, 1 Tm 3.23, 4 Pm 3.49
Cd2 0.4304 0.5000 0.1392  3 Cd 3.19-3.50, 1 Tm 3.23, 4 Pm 3.49

DFT (PBE) results for Pm2Tm7Cd2 after structural relaxation.

- Magnetic moment: 0.0 μB/f.u.
- SG: C2/m
- DFT formation energy: 0.040 eV/atom

Unit cell a=7.9594 b=6.5546 c=6.5546 alpha=91.53 beta=79.67 gamma=79.67
Closest atoms and distances in Å follow each position.
Element x y z (fractional)
Pm1 0.5000 0.1806 0.8194  8 Tm 3.34-3.61, 1 Pm 3.39
Pm2 0.5000 0.8194 0.1806  8 Tm 3.34-3.61, 1 Pm 3.39
Tm1 0.1705 0.1197 0.5217  2 Cd 3.08-3.15, 3 Tm 3.36-3.44, 1 Pm 3.40
Tm2 0.8295 0.4783 0.8803  2 Cd 3.08-3.15, 3 Tm 3.36-3.44, 1 Pm 3.40
Tm3 0.8295 0.8803 0.4783  2 Cd 3.08-3.15, 3 Tm 3.36-3.44, 1 Pm 3.40
Tm4 0.1705 0.5217 0.1197  2 Cd 3.08-3.15, 3 Tm 3.36-3.44, 1 Pm 3.40
Tm5 0.0000 0.0000 0.0000  4 Tm 3.36, 2 Cd 3.53
Tm6 0.4639 0.6952 0.6952  1 Cd 2.87
Tm7 0.5361 0.3048 0.3048  1 Cd 2.87
Cd1 0.8536 0.3989 0.3989  5 Tm 2.87-3.15
Cd2 0.1464 0.6011 0.6011  5 Tm 2.87-3.15

DFT (PBE) results for Pm4TmCd3 after structural relaxation.

- Magnetic moment: 0.1 μB/f.u.
- SG: Pmmm
- DFT formation energy: -0.193 eV/atom

Unit cell a=3.7777 b=5.5109 c=11.1490 alpha=90.00 beta=90.00 gamma=90.00
Closest atoms and distances in Å follow each position.
Element x y z (fractional)
Cd1 0.5000 0.0000 0.2460  8 Pm 3.33-3.40
Cd2 0.5000 0.5000 0.5000  8 Pm 3.27-3.34
Cd3 0.5000 0.0000 0.7540  8 Pm 3.33-3.40
Tm1 0.5000 0.5000 0.0000  8 Pm 3.34-3.46
Pm1 0.0000 0.0000 0.5000  8 Cd 3.34-3.40
Pm2 0.0000 0.5000 0.7395  6 Cd 3.27-3.34, 2 Tm 3.46
Pm3 0.0000 0.0000 0.0000  4 Cd 3.33, 4 Tm 3.34
Pm4 0.0000 0.5000 0.2605  6 Cd 3.27-3.34, 2 Tm 3.46

DFT (PBE) results for PmTm4Cd2 after structural relaxation.

- Magnetic moment: 0.3 μB/f.u.
- SG: R-3m
- DFT formation energy: 0.217 eV/atom

Unit cell a=5.0281 b=5.0281 c=10.7081 alpha=76.42 beta=76.42 gamma=60.00
Closest atoms and distances in Å follow each position.
Element x y z (fractional)
Pm1 0.5000 0.5000 0.5000  2 Cd 3.13, 6 Tm 3.49
Tm1 0.7018 0.7018 0.8945  4 Cd 3.05-3.11
Tm2 0.8957 0.8957 0.3128  3 Cd 3.14, 3 Pm 3.49
Tm3 0.2982 0.2982 0.1055  4 Cd 3.05-3.11
Tm4 0.1043 0.1043 0.6872  3 Cd 3.14, 3 Pm 3.49
Cd1 0.6012 0.6012 0.1964  7 Tm 3.05-3.14, 1 Pm 3.13
Cd2 0.3988 0.3988 0.8036  7 Tm 3.05-3.14, 1 Pm 3.13

DFT (PBE) results for Pm2Tm8Cd after structural relaxation.

- Magnetic moment: 0.0 μB/f.u.
- SG: C2/m
- DFT formation energy: -0.007 eV/atom

Unit cell a=5.4930 b=6.3552 c=9.9937 alpha=84.95 beta=105.95 gamma=90.00
Closest atoms and distances in Å follow each position.
Element x y z (fractional)
Pm1 0.7561 0.3304 0.5122  9 Tm 3.40-3.78, 2 Pm 3.49
Pm2 0.2439 0.6696 0.4878  9 Tm 3.40-3.78, 2 Pm 3.49
Tm1 0.4225 0.5997 0.8449  1 Cd 3.06, 3 Tm 3.13-3.32, 1 Pm 3.42
Tm2 0.6588 0.8749 0.3175  1 Cd 3.08, 2 Pm 3.40, 2 Tm 3.40
Tm3 0.8479 0.8084 0.6958  5 Tm 3.32-3.62, 4 Pm 3.55-3.65
Tm4 0.9557 0.2663 0.9115  2 Cd 3.30, 6 Tm 3.49-3.68
Tm5 0.1521 0.1916 0.3042  5 Tm 3.32-3.62, 4 Pm 3.55-3.65
Tm6 0.3412 0.1251 0.6825  1 Cd 3.08, 2 Pm 3.40, 2 Tm 3.40
Tm7 0.5775 0.4003 0.1551  1 Cd 3.06, 3 Tm 3.13-3.32, 1 Pm 3.42
Tm8 0.0443 0.7337 0.0885  2 Cd 3.30, 6 Tm 3.49-3.68
Cd1 0.5000 0.0000 0.0000  8 Tm 3.06-3.30

DFT (PBE) results for PmTm5Cd6 after structural relaxation.

- Magnetic moment: 0.0 μB/f.u.
- SG: Cmmm
- DFT formation energy: -0.309 eV/atom

Unit cell a=5.2424 b=7.4647 c=8.3192 alpha=90.00 beta=71.63 gamma=90.00
Closest atoms and distances in Å follow each position.
Element x y z (fractional)
Cd1 0.8306 0.7439 0.3389  7 Tm 3.19-3.24, 1 Pm 3.29
Cd2 0.8306 0.2561 0.3389  7 Tm 3.19-3.24, 1 Pm 3.29
Cd3 0.5000 0.2551 0.0000  6 Tm 3.17-3.27, 2 Pm 3.24
Cd4 0.5000 0.7449 0.0000  6 Tm 3.17-3.27, 2 Pm 3.24
Cd5 0.1694 0.7439 0.6611  7 Tm 3.19-3.24, 1 Pm 3.29
Cd6 0.1694 0.2561 0.6611  7 Tm 3.19-3.24, 1 Pm 3.29
Tm1 0.6642 0.5000 0.6716  8 Cd 3.17-3.20
Tm2 0.3314 0.0000 0.3371  8 Cd 3.19-3.27
Tm3 0.0000 0.5000 0.0000  8 Cd 3.20-3.24
Tm4 0.6686 0.0000 0.6629  8 Cd 3.19-3.27
Tm5 0.3358 0.5000 0.3284  8 Cd 3.17-3.20
Pm1 0.0000 0.0000 0.0000  8 Cd 3.24-3.29

DFT (PBE) results for Pm2TmCd2 after structural relaxation.

- Magnetic moment: 0.2 μB/f.u.
- Relative energy among the computed polymorphs: 0 meV/atom
- SG: P2_1/m
- DFT formation energy: -0.244 eV/atom

Unit cell a=3.7416 b=5.3514 c=14.2193 alpha=90.00 beta=97.55 gamma=90.00
Closest atoms and distances in Å follow each position.
Element x y z (fractional)
Pm1 0.0443 0.7500 0.0876  8 Cd 3.27-3.42, 2 Pm 3.64
Pm2 0.9557 0.2500 0.9124  8 Cd 3.27-3.42, 2 Pm 3.64
Pm3 0.2338 0.7500 0.4694  2 Cd 3.29, 4 Pm 3.37-3.38, 2 Tm 3.59
Pm4 0.7662 0.2500 0.5306  2 Cd 3.29, 4 Pm 3.37-3.38, 2 Tm 3.59
Tm1 0.8498 0.7500 0.7003  6 Cd 3.20-3.28
Tm2 0.1502 0.2500 0.2997  6 Cd 3.20-3.28
Cd1 0.6387 0.7500 0.2777  4 Pm 3.27-3.29, 4 Tm 3.28, 2 Cd 3.52
Cd2 0.3613 0.2500 0.7223  4 Pm 3.27-3.29, 4 Tm 3.28, 2 Cd 3.52
Cd3 0.4419 0.7500 0.8842  2 Tm 3.20, 6 Pm 3.29-3.42, 2 Cd 3.52
Cd4 0.5581 0.2500 0.1158  2 Tm 3.20, 6 Pm 3.29-3.42, 2 Cd 3.52

DFT (PBE) results for Pm4Tm2Cd after structural relaxation.

- Magnetic moment: 0.0 μB/f.u.
- SG: C2/m
- DFT formation energy: 0.029 eV/atom

Unit cell a=3.5339 b=8.5886 c=8.5043 alpha=116.79 beta=101.99 gamma=90.00
Closest atoms and distances in Å follow each position.
Element x y z (fractional)
Pm1 0.9168 0.2951 0.8336  5 Pm 3.33-3.61, 3 Tm 3.35-3.44, 1 Cd 3.40
Pm2 0.0832 0.7049 0.1664  5 Pm 3.33-3.61, 3 Tm 3.35-3.44, 1 Cd 3.40
Pm3 0.6325 0.3925 0.2650  8 Pm 3.53-3.89, 2 Cd 3.54, 3 Tm 3.56-3.63
Pm4 0.3675 0.6075 0.7350  8 Pm 3.53-3.89, 2 Cd 3.54, 3 Tm 3.56-3.63
Tm1 0.7828 0.8611 0.5657  1 Cd 3.24, 6 Pm 3.35-3.63, 4 Tm 3.52-3.53
Tm2 0.2172 0.1389 0.4343  1 Cd 3.24, 6 Pm 3.35-3.63, 4 Tm 3.52-3.53
Cd1 0.0000 0.0000 0.0000  2 Tm 3.24, 6 Pm 3.40-3.54, 2 Cd 3.53

Final energy / hartree per atom: -0.0777 -0.1519 -0.1337 -0.1409 -0.1275 -0.1205 -0.1546 -0.1112 -0.1251 -0.1504
Volume / Å³/atom: 24.1 32.6 29.4 30.0 29.0 32.2 30.4 25.7 28.2 32.0